The following is a PBE-GGA calculation of a geometry-optimized Ga2CuAu2 structure, from Alexandria.

extended XYZ file:
```
10
Lattice="-3.681 -0.212 -2.214 2.093 -4.064 -3.092 -0.633 -4.641 5.673" Properties=species:S:1:pos:R:3 pbc="T T T"
Ga 1.437 -3.796 -2.026
Ga -1.925 -4.297 -0.565
Ga 0.745 -6.639 -0.603
Ga -3.402 -5.617 2.018
Cu -2.230 -4.483 4.137
Cu -0.932 -2.606 -2.378
Au -0.777 -5.179 1.788
Au -1.874 -6.991 -0.392
Au 0.047 -2.689 0.179
Au -0.580 -5.415 -2.695
```

Values from the calculation:
Energy relative to the lowest polymorph listed for this composition ... 0.00 eV per formula unit
Magnetic moment ... 0.00 μB per formula unit
Formation energy from the elements ... -146 meV per atom
Energy ... -3.49 eV/atom
Space-group type ... Cmc2_1 (36)

=====

The following is a PBE-GGA calculation of a geometry-optimized GaCu3Au structure, from Alexandria.

extended XYZ file:
```
10
Lattice="-2.465 -3.382 -0.401 4.214 0.077 -4.513 2.280 -2.379 6.043" Properties=species:S:1:pos:R:3 pbc="T T T"
Ga 0.144 -2.809 0.771
Ga 3.886 -2.874 0.357
Cu 2.132 -4.360 1.628
Cu 4.037 -3.300 3.018
Cu 2.179 -1.829 2.032
Cu 1.898 -1.324 -0.500
Cu 1.850 -3.854 -0.904
Cu -0.007 -2.383 -1.890
Au 1.865 -3.559 -3.480
Au 2.165 -2.124 4.608
```

Values from the calculation:
Energy relative to the lowest polymorph listed for this composition ... 0.00 eV per formula unit
Magnetic moment ... 0.00 μB per formula unit
Formation energy from the elements ... -13 meV per atom
Energy ... -3.73 eV/atom
Space-group type ... C2/m (12)

=====

The following is a PBE-GGA calculation of a geometry-optimized GaCu2Au6 structure, from Alexandria.

extended XYZ file:
```
18
Lattice="4.272 0.000 0.000 0.000 8.348 0.000 0.001 0.000 8.348" Properties=species:S:1:pos:R:3 pbc="T T T"
Ga 2.136 4.174 0.000
Ga 0.000 0.000 4.174
Cu 0.001 2.543 6.717
Cu 2.136 6.717 5.805
Cu 2.136 1.631 2.543
Cu 4.272 5.805 1.631
Au 0.000 0.174 1.474
Au 4.272 5.648 4.348
Au 4.272 5.306 7.216
Au 2.136 1.132 5.306
Au 2.137 1.474 8.174
Au 2.136 4.348 2.700
Au 4.272 8.174 6.874
Au 0.000 2.700 4.000
Au 0.000 3.042 1.132
Au 2.136 7.216 3.042
Au 2.136 6.874 0.174
Au 2.136 4.000 5.648
```

Values from the calculation:
Energy relative to the lowest polymorph listed for this composition ... 0.00 eV per formula unit
Magnetic moment ... 0.00 μB per formula unit
Formation energy from the elements ... -65 meV per atom
Energy ... -3.50 eV/atom
Space-group type ... P4_2/mnm (136)

=====

The following is a PBE-GGA calculation of a geometry-optimized Ga2Cu6Au3 structure, from Alexandria.

extended XYZ file:
```
22
Lattice="7.028 0.000 -2.485 -3.514 6.086 -2.485 0.000 0.000 7.454" Properties=species:S:1:pos:R:3 pbc="T T T"
Ga -1.757 3.043 -1.242
Ga 3.514 0.000 -1.242
Ga 0.000 0.000 3.727
Ga 1.757 3.043 1.242
Cu 3.514 1.778 2.485
Cu 4.540 0.000 1.033
Cu 2.488 0.000 3.936
Cu 0.000 4.309 0.000
Cu -2.270 3.932 1.033
Cu 3.732 2.154 0.000
Cu -0.218 3.932 2.485
Cu -1.244 2.154 3.936
Cu 0.218 3.932 -2.485
Cu 2.270 3.932 -1.033
Cu 1.244 2.154 3.518
Cu 3.296 2.154 -2.485
Au 5.294 0.000 3.743
Au 1.734 0.000 1.226
Au -0.867 1.502 1.226
Au 4.381 4.585 1.259
Au 0.867 1.502 -1.226
Au 2.647 4.585 -3.743
```

Values from the calculation:
Magnetic moment ... 0.00 μB per formula unit
Formation energy from the elements ... -49 meV per atom
Energy ... -3.73 eV/atom
Space-group type ... Im-3m (229)

=====

The following is a PBE-GGA calculation of a geometry-optimized GaCuAu structure, from Alexandria.

extended XYZ file:
```
3
Lattice="-0.624 1.440 -2.412 -2.041 -3.500 -1.562 -2.196 2.938 2.322" Properties=species:S:1:pos:R:3 pbc="T T T"
Au -2.546 -0.307 -2.019
Cu -2.304 1.161 0.411
Ga -0.011 0.025 -0.042
```

Values from the calculation:
Energy relative to the lowest polymorph listed for this composition ... 0.21 eV per formula unit
Magnetic moment ... 0.00 μB per formula unit
Formation energy from the elements ... -54 meV per atom
Energy ... -3.52 eV/atom
Space-group type ... P3m1 (156)

=====

The following is a PBE-GGA calculation of a geometry-optimized Ga4CuAu5 structure, from Alexandria.

extended XYZ file:
```
10
Lattice="-3.037 1.273 1.938 -0.470 -5.017 2.557 7.055 5.796 3.483" Properties=species:S:1:pos:R:3 pbc="T T T"
Ga -0.569 -2.551 4.550
Ga 0.577 -0.752 1.399
Ga 4.116 4.601 3.428
Ga 2.970 2.803 6.580
Cu -1.519 0.636 0.969
Au 2.115 1.105 2.589
Au 1.711 -1.484 3.656
Au 1.836 3.535 4.322
Au -1.754 -1.872 2.248
Au 1.432 0.945 5.390
```

Values from the calculation:
Magnetic moment ... 0.00 μB per formula unit
Formation energy from the elements ... -138 meV per atom
Energy ... -3.40 eV/atom
Space-group type ... C2/m (12)

=====

The following is a PBE-GGA calculation of a geometry-optimized GaCu2Au structure, from Alexandria.

extended XYZ file:
```
8
Lattice="6.998 0.000 0.000 0.000 6.998 0.000 3.499 3.499 2.566" Properties=species:S:1:pos:R:3 pbc="T T T"
Au 0.000 0.000 0.000
Au 6.998 3.499 1.283
Cu 5.144 1.749 0.641
Cu 1.854 5.248 0.641
Cu 5.248 5.353 1.924
Cu 8.747 8.643 1.924
Ga 3.499 3.499 0.000
Ga 3.499 6.998 1.283
```

Values from the calculation:
Magnetic moment ... 0.00 μB per formula unit
Formation energy from the elements ... 106 meV per atom
Energy ... -3.52 eV/atom
Space-group type ... I-42d (122)

=====

The following is a PBE-GGA calculation of a geometry-optimized GaCu2Au structure, from Alexandria.

extended XYZ file:
```
4
Lattice="-1.603 2.584 -2.332 -2.874 -2.486 -0.778 -2.037 1.424 2.978" Properties=species:S:1:pos:R:3 pbc="T T T"
Au -3.257 0.761 -0.066
Cu -1.018 0.712 1.489
Cu -1.437 -1.243 -0.389
Ga -0.802 1.292 -1.166
```

Values from the calculation:
Magnetic moment ... 0.00 μB per formula unit
Formation energy from the elements ... -96 meV per atom
Energy ... -3.72 eV/atom
Space-group type ... P4/mmm (123)

=====

The following is a PBE-GGA calculation of a geometry-optimized GaCu8Au5 structure, from Alexandria.

extended XYZ file:
```
14
Lattice="-3.904 4.538 2.598 -3.336 -3.637 -4.270 2.288 -3.754 4.823" Properties=species:S:1:pos:R:3 pbc="T T T"
Ga -0.928 -3.500 2.132
Cu -2.958 -2.321 -2.979
Cu -2.485 1.290 5.831
Cu -3.115 1.436 3.096
Cu -1.886 -1.981 3.729
Cu -3.067 -0.872 -0.574
Cu -3.529 -3.628 2.195
Cu -0.932 -1.046 1.255
Cu -1.836 -4.289 0.051
Au -4.817 2.432 1.357
Au -5.580 -0.122 0.063
Au -3.518 -0.998 2.002
Au -0.808 0.392 3.710
Au -2.181 1.277 0.656
```

Values from the calculation:
Magnetic moment ... 0.00 μB per formula unit
Formation energy from the elements ... 56 meV per atom
Energy ... -3.67 eV/atom
Space-group type ... I-4 (82)

=====

The following is a PBE-GGA calculation of a geometry-optimized Ga2Cu4Au structure, from Alexandria.

extended XYZ file:
```
7
Lattice="-0.617 1.856 3.561 -2.859 0.495 -0.754 -3.256 -7.929 1.251" Properties=species:S:1:pos:R:3 pbc="T T T"
Au 0.000 0.000 0.000
Cu -2.016 -1.741 0.558
Cu -4.716 -3.838 3.500
Cu -3.982 -3.313 1.037
Cu -2.751 -2.265 3.021
Ga -3.636 -0.163 1.772
Ga -3.097 -5.415 2.286
```

Values from the calculation:
Energy relative to the lowest polymorph listed for this composition ... 0.00 eV per formula unit
Magnetic moment ... 0.00 μB per formula unit
Formation energy from the elements ... -82 meV per atom
Energy ... -3.76 eV/atom
Space-group type ... C2/m (12)

=====

The following is a PBE-GGA calculation of a geometry-optimized GaCuAu structure, from Alexandria.

extended XYZ file:
```
3
Lattice="-1.837 2.042 -3.259 -1.959 -2.214 -3.071 -4.249 0.107 -0.325" Properties=species:S:1:pos:R:3 pbc="T T T"
Au -2.011 -0.016 -1.664
Cu -4.023 -0.032 -3.327
Ga 0.000 0.000 0.000
```

Values from the calculation:
Energy relative to the lowest polymorph listed for this composition ... 0.29 eV per formula unit
Magnetic moment ... 0.00 μB per formula unit
Formation energy from the elements ... -24 meV per atom
Energy ... -3.49 eV/atom
Space-group type ... F-43m (216)

=====

The following is a PBE-GGA calculation of a geometry-optimized Ga2Cu7Ge2Au structure, from Alexandria.

extended XYZ file:
```
12
Lattice="0.241 3.365 1.974 0.565 -2.112 3.241 12.076 1.506 3.421" Properties=species:S:1:pos:R:3 pbc="T T T"
Ga 8.922 2.052 6.590
Ga 3.959 0.707 2.046
Cu 0.403 0.627 2.608
Cu 6.242 1.067 3.016
Cu 6.639 1.693 5.620
Cu 2.347 2.355 3.312
Cu 2.509 -0.388 3.947
Cu 10.372 3.148 4.689
Cu 10.534 0.405 5.324
Ge 4.342 1.333 4.653
Ge 8.539 1.426 3.983
Au 0.000 0.000 0.000
```

Values from the calculation:
Magnetic moment ... 0.00 μB per formula unit
Formation energy from the elements ... 41 meV per atom
Energy ... -3.90 eV/atom
Space-group type ... C2/m (12)

=====

Question: Look up the formation energy from the elements of the eighth one.
Answer: -96 meV per atom